[1]
# AlBiS2N

An optimized crystal structure of AlBiS2N (PBE, Alexandria).

```
AlBiS2N
1.0
4.876 0.000 0.000
0.000 4.876 0.000
0.000 0.000 3.702
Al Bi S N
1 1 2 1
Direct
0.000 0.000 0.000
0.500 0.500 0.500
0.000 0.500 0.000
0.500 0.000 0.000
0.000 0.000 0.500
```

Properties
magnetic moment = 1.335 μB per formula unit
symmetry = No. 123
energy = -4.837 eV per atom
uncorrected formation energy = 3 meV per atom
density = 5.93 Mg/m³

---

[2]
# KZrTl3

An optimized crystal structure of KZrTl3 (PBE, Alexandria).

```
KZrTl3
1.0
5.652 0.000 0.000
0.000 5.652 0.000
0.000 0.000 5.652
K Zr Tl
1 1 3
Direct
0.000 0.000 0.000
0.500 0.500 0.500
0.000 0.000 0.500
0.000 0.500 0.000
0.500 0.000 0.000
```

Properties
magnetic moment = 0.001 μB per formula unit
symmetry = No. 221
energy = -2.155 eV per atom
E_form = 1.194 eV/atom
density = 6.84 Mg/m³

---

[3]
# Sm2Dy3Ho4

An optimized crystal structure of Sm2Dy3Ho4 (PBE, Alexandria).

```
Sm2Dy3Ho4
1.0
8.113 -5.780 0.000
8.113 5.780 0.000
-0.642 0.000 6.080
Sm Dy Ho
4 6 8
Direct
0.021 0.734 0.678
0.266 0.979 0.822
0.734 0.021 0.178
0.979 0.266 0.322
0.097 0.903 0.250
0.238 0.432 0.406
0.432 0.238 0.906
0.568 0.762 0.094
0.762 0.568 0.594
0.903 0.097 0.750
0.076 0.354 0.848
0.313 0.595 0.985
0.354 0.076 0.348
0.405 0.687 0.515
0.595 0.313 0.485
0.646 0.924 0.652
0.687 0.405 0.015
0.924 0.646 0.152
```

Properties
magnetic moment = 0.000 μB per formula unit
symmetry = No. 15
energy = -4.521 eV per atom
E_form = 0.097 eV/atom
density = 8.43 Mg/m³

---

[4]
# BaTlIO2

An optimized crystal structure of BaTlIO2 (PBE, Alexandria).

```
BaTlIO2
1.0
4.690 0.000 0.000
0.000 4.690 0.000
0.000 0.000 5.810
Ba Tl I O
1 1 1 2
Direct
0.000 0.000 0.000
0.500 0.500 0.500
0.500 0.500 0.000
0.000 0.500 0.500
0.500 0.000 0.500
```

Properties
magnetic moment = 0.189 μB per formula unit
symmetry = No. 123
energy = -3.921 eV per atom
uncorrected formation energy = -770 meV per atom
density = 6.50 Mg/m³

---

[5]
# Rb5HgBi2

An optimized crystal structure of Rb5HgBi2 (PBE, Alexandria).

```
Rb5HgBi2
1.0
6.453 0.000 0.000
-2.990 5.719 0.000
-0.263 -0.199 22.355
Rb Hg Bi
10 2 4
Direct
0.001 0.007 0.140
0.011 0.999 0.638
0.322 0.673 0.450
0.328 0.677 0.050
0.378 0.619 0.250
0.622 0.381 0.750
0.672 0.323 0.950
0.678 0.327 0.550
0.989 0.001 0.362
0.999 0.993 0.860
0.276 0.726 0.750
0.724 0.274 0.250
0.338 0.653 0.878
0.350 0.661 0.622
0.650 0.339 0.378
0.662 0.347 0.122
```

Properties
magnetic moment = 0.000 μB per formula unit
symmetry = No. 2
energy = -1.929 eV per atom
E_form = -0.316 eV/atom
density = 4.21 Mg/m³

---

[6]
# Tl2FeAs

An optimized crystal structure of Tl2FeAs (PBE, Alexandria).

```
Tl2FeAs
1.0
4.270 0.000 0.000
0.000 4.270 0.000
0.000 0.000 10.050
Tl Fe As
4 2 2
Direct
0.000 0.500 0.250
0.000 0.500 0.750
0.500 0.000 0.250
0.500 0.000 0.750
0.000 0.000 0.000
0.500 0.500 0.500
0.000 0.000 0.500
0.500 0.500 0.000
```

Properties
magnetic moment = 3.227 μB per formula unit
symmetry = No. 139
energy = -3.840 eV per atom
E_form = 0.622 eV/atom
density = 9.78 Mg/m³